No. 1
Compound: Ce2TaC3
Source: Alexandria via LeMat-Bulk
Functional: PBE
Structure: relaxed

DOS(E_F) ... 9.8 states/eV per cell
Total moment ... 0.02 μB/f.u.
Calculated total energy ... -103.354 eV per cell

Cell: 3.3245 6.1059 9.2808 Å, 90.00 100.32 90.00°
Fractional coordinates of all 12 atoms:
Ta1 0.3403 0.7500 0.6807
Ta2 0.6597 0.2500 0.3193
Ce1 0.0065 0.2500 0.0130
Ce2 0.1619 0.7500 0.3238
Ce3 0.8381 0.2500 0.6762
Ce4 0.9935 0.7500 0.9870
C1 0.5862 0.9952 0.1723
C2 0.5862 0.5048 0.1723
C3 0.2291 0.2500 0.4581
C4 0.4138 0.4952 0.8277
C5 0.7709 0.7500 0.5419
C6 0.4138 0.0048 0.8277



No. 2
Compound: Ba3TmPb2O6
Source: Alexandria via LeMat-Bulk
Functional: PBE
Structure: relaxed

DOS(E_F) ... 4.4 states/eV per cell
Total moment ... 0.38 μB/f.u.
Calculated total energy ... -74.347 eV per cell
Raw formation energy ... -2.245 eV/atom

Cell: 6.2052 6.2052 7.1758 Å, 90.00 90.00 120.00°
Fractional coordinates of all 12 atoms:
Pb1 0.3333 0.6667 0.1304
Pb2 0.6667 0.3333 0.8696
Ba1 0.6667 0.3333 0.3806
Ba2 0.3333 0.6667 0.6194
Ba3 0.0000 0.0000 0.0000
O1 0.8324 0.6648 0.6817
O2 0.6648 0.8324 0.3183
O3 0.1676 0.8324 0.3183
O4 0.8324 0.1676 0.6817
O5 0.3352 0.1676 0.6817
O6 0.1676 0.3352 0.3183
Tm1 0.0000 0.0000 0.5000



No. 3
Compound: Cd5Ga3Cl12
Source: Alexandria via LeMat-Bulk
Functional: PBE
Structure: relaxed

DOS(E_F) ... 10.4 states/eV per cell
Total moment ... 0.00 μB/f.u.
Calculated total energy ... -212.857 eV per cell
Raw formation energy ... -0.870 eV/atom

Cell: 14.5153 14.5153 14.5153 Å, 109.47 109.47 109.47°
Fractional coordinates of all 80 atoms:
Cl1 0.0904 0.1775 0.4703
Cl2 0.4129 0.1201 0.5904
Cl3 0.3799 0.4096 0.0871
Cl4 0.7928 0.3225 0.9129
Cl5 0.6201 0.0297 0.2072
Cl6 0.6775 0.2072 0.5871
Cl7 0.9096 0.8225 0.5297
Cl8 0.9703 0.3799 0.2928
Cl9 0.6201 0.5904 0.9129
Cl10 0.5871 0.8799 0.4096
Cl11 0.4096 0.0297 0.3225
Cl12 0.2072 0.6775 0.0871
Cl13 0.2072 0.5297 0.6201
Cl14 0.0871 0.1775 0.2072
Cl15 0.3225 0.5297 0.4096
Cl16 0.6775 0.4703 0.5904
Cl17 0.7072 0.5871 0.1775
Cl18 0.3225 0.7928 0.4129
Cl19 0.0871 0.9096 0.3799
Cl20 0.1775 0.0871 0.7072
Cl21 0.4129 0.2928 0.3225
Cl22 0.5297 0.2072 0.1201
Cl23 0.4703 0.6775 0.0904
Cl24 0.3799 0.9703 0.7928
Cl25 0.7072 0.1201 0.0297
Cl26 0.2928 0.4129 0.8225
Cl27 0.5297 0.3225 0.9096
Cl28 0.4096 0.3799 0.5871
Cl29 0.1201 0.7072 0.5297
Cl30 0.7928 0.4703 0.3799
Cl31 0.4703 0.7928 0.8799
Cl32 0.5904 0.6201 0.4129
Cl33 0.9096 0.0871 0.8799
Cl34 0.9129 0.8225 0.7928
Cl35 0.2928 0.8799 0.9703
Cl36 0.1201 0.4129 0.0904
Cl37 0.5871 0.7072 0.6775
Cl38 0.9129 0.0904 0.6201
Cl39 0.8799 0.2928 0.4703
Cl40 0.9703 0.5904 0.1775
Cl41 0.0297 0.6201 0.7072
Cl42 0.0297 0.4096 0.8225
Cl43 0.1775 0.0904 0.9703
Cl44 0.5904 0.9703 0.6775
Cl45 0.8799 0.5871 0.9096
Cl46 0.8225 0.9096 0.0297
Cl47 0.8225 0.9129 0.2928
Cl48 0.0904 0.9129 0.1201
Cd1 0.1250 0.3750 0.2500
Cd2 0.2500 0.8750 0.1250
Cd3 0.5000 0.0000 0.0000
Cd4 0.5000 0.5000 0.0000
Cd5 0.7500 0.6250 0.3750
Cd6 0.5000 0.0000 0.5000
Cd7 0.6250 0.7500 0.8750
Cd8 0.5000 0.5000 0.5000
Cd9 0.0000 0.0000 0.0000
Cd10 0.0000 0.5000 0.5000
Cd11 0.8750 0.2500 0.6250
Cd12 0.7500 0.1250 0.8750
Cd13 0.1250 0.7500 0.3750
Cd14 0.0000 0.5000 0.0000
Cd15 0.0000 0.0000 0.5000
Cd16 0.3750 0.2500 0.1250
Cd17 0.8750 0.6250 0.7500
Cd18 0.2500 0.3750 0.6250
Cd19 0.6250 0.8750 0.2500
Cd20 0.3750 0.1250 0.7500
Ga1 0.6250 0.3750 0.7500
Ga2 0.3750 0.7500 0.6250
Ga3 0.7500 0.8750 0.6250
Ga4 0.1250 0.2500 0.8750
Ga5 0.7500 0.3750 0.1250
Ga6 0.8750 0.7500 0.1250
Ga7 0.1250 0.8750 0.7500
Ga8 0.2500 0.1250 0.3750
Ga9 0.3750 0.6250 0.2500
Ga10 0.8750 0.1250 0.2500
Ga11 0.6250 0.2500 0.3750
Ga12 0.2500 0.6250 0.8750



No. 4
Compound: Ac6Ni2SeI3
Source: Alexandria via LeMat-Bulk
Functional: PBE
Structure: relaxed

DOS(E_F) ... 10.9 states/eV per cell
Total moment ... 0.00 μB/f.u.
Calculated total energy ... -55.580 eV per cell
Raw formation energy ... -0.936 eV/atom

Cell: 7.7317 7.7317 8.7442 Å, 98.48 98.48 119.93°
Fractional coordinates of all 12 atoms:
I1 0.5000 0.5000 0.5000
I2 0.1598 0.8402 0.5000
I3 0.8402 0.1598 0.5000
Ac1 0.9357 0.5792 0.8101
Ac2 0.5792 0.9357 0.8101
Ac3 0.4208 0.0643 0.1899
Ac4 0.0643 0.4208 0.1899
Ac5 0.2938 0.2938 0.8115
Ac6 0.7062 0.7062 0.1885
Se1 0.0000 0.0000 0.0000
Ni1 0.3329 0.6671 0.0000
Ni2 0.6671 0.3329 0.0000



No. 5
Compound: Cd7GaAu5
Source: Alexandria via LeMat-Bulk
Functional: PBE
Structure: relaxed

DOS(E_F) ... 4.7 states/eV per cell
Total moment ... 0.00 μB/f.u.
Calculated total energy ... -27.048 eV per cell

Cell: 5.6807 7.5327 7.5327 Å, 82.13 67.85 67.85°
Fractional coordinates of all 13 atoms:
Ga1 0.9877 0.0123 0.0123
Cd1 0.5097 0.8157 0.1649
Cd2 0.2635 0.2365 0.2365
Cd3 0.5097 0.1649 0.8157
Cd4 0.3203 0.6797 0.6797
Cd5 0.0006 0.6686 0.3303
Cd6 0.6383 0.3617 0.3617
Cd7 0.0006 0.3303 0.6686
Au1 0.0037 0.4904 0.0010
Au2 0.5050 0.4904 0.0010
Au3 0.0037 0.0010 0.4904
Au4 0.7523 0.7477 0.7477
Au5 0.5050 0.0010 0.4904



No. 6
Compound: SrLa2Re2N6
Source: Alexandria via LeMat-Bulk
Functional: PBE
Structure: relaxed

DOS(E_F) ... 0.2 states/eV per cell
Total moment ... 0.00 μB/f.u.
Calculated total energy ... -93.813 eV per cell
Raw formation energy ... -0.675 eV/atom

Cell: 5.8674 5.8674 7.2454 Å, 66.11 66.11 60.00°
Fractional coordinates of all 11 atoms:
N1 0.2667 0.2667 0.6936
N2 0.7333 0.7333 0.3064
N3 0.7333 0.2271 0.3064
N4 0.2667 0.7729 0.6936
N5 0.2271 0.7333 0.3064
N6 0.7729 0.2667 0.6936
La1 0.7944 0.7944 0.6169
La2 0.2056 0.2056 0.3831
Re1 0.5919 0.5919 0.2243
Re2 0.4081 0.4081 0.7757
Sr1 0.0000 0.0000 0.0000



No. 7
Compound: IrCSe2Br
Source: Alexandria via LeMat-Bulk
Functional: PBE
Structure: relaxed

DOS(E_F) ... 5.0 states/eV per cell
Total moment ... 0.00 μB/f.u.
Calculated total energy ... -18.468 eV per cell
Excess energy over the best structure of this formula in the dataset ... 0 meV/atom
Raw formation energy ... 1.652 eV/atom

Cell: 4.3440 4.3440 4.4053 Å, 90.00 90.00 90.00°
Fractional coordinates of all 5 atoms:
Ir1 0.5000 0.5000 0.5000
Br1 0.0000 0.0000 0.5000
C1 0.0000 0.0000 0.0000
Se1 0.5000 0.0000 0.0000
Se2 0.0000 0.5000 0.0000



No. 8
Compound: InWAu2
Source: Alexandria via LeMat-Bulk
Functional: PBE
Structure: relaxed

DOS(E_F) ... 3.2 states/eV per cell
Total moment ... 0.32 μB/f.u.
Calculated total energy ... -20.390 eV per cell

Cell: 2.9942 4.9406 4.9768 Å, 90.00 90.00 90.00°
Each line ends with the local moment (μB).
Fractional coordinates of all 4 atoms:
In1 0.5000 0.0000 0.5000  0.00
W1 0.0000 0.5000 0.5000  0.24
Au1 0.0000 0.0000 0.0000  0.00
Au2 0.5000 0.5000 0.0000  0.02